No. 1
## Ca2CuBr (SCAN)

Data for a PBEsol-optimized structure of Ca2CuBr.

Geometry as CIF:
```
data_Ca2CuBr
_chemical_formula_sum 'Ca2 Cu1 Br1'
_cell_length_a 4.1870
_cell_length_b 4.1870
_cell_length_c 5.9312
_cell_angle_alpha 90.00
_cell_angle_beta 90.00
_cell_angle_gamma 90.00
_symmetry_space_group_name_H-M 'P 4/m m m'
_symmetry_Int_Tables_number 123
_symmetry_space_group_name_Hall '-P 4 2'
loop_
_atom_site_label
_atom_site_type_symbol
_atom_site_fract_x
_atom_site_fract_y
_atom_site_fract_z
Ca1 Ca 0.0000 0.0000 0.0000
Ca2 Ca 0.5000 0.5000 0.5000
Cu1 Cu 0.0000 0.0000 0.5000
Br1 Br 0.5000 0.5000 0.0000
```


No. 2
## Nd4Al2O9 (SCAN)

Data for a PBEsol-optimized structure of Nd4Al2O9.

Geometry as CIF:
```
data_Nd4Al2O9
_chemical_formula_sum 'Nd16 Al8 O36'
_cell_length_a 7.7148
_cell_length_b 10.8391
_cell_length_c 11.3043
_cell_angle_alpha 90.00
_cell_angle_beta 109.39
_cell_angle_gamma 90.00
_symmetry_space_group_name_H-M 'P 1 21/c 1'
_symmetry_Int_Tables_number 14
loop_
_symmetry_equiv_pos_as_xyz
'x,y,z'
'-x,-y,-z'
'-x,y+1/2,-z+1/2'
'x,-y+1/2,z+1/2'
loop_
_atom_site_label
_atom_site_type_symbol
_atom_site_fract_x
_atom_site_fract_y
_atom_site_fract_z
Nd1 Nd 0.0238 0.1012 0.2869
Nd2 Nd 0.1679 0.6239 0.5726
Nd3 Nd 0.3350 0.1223 0.9116
Nd4 Nd 0.4733 0.5847 0.1889
Al1 Al 0.1525 0.1904 0.6189
Al2 Al 0.2770 0.6928 0.8711
O1 O 0.0657 0.7438 0.8834
O2 O 0.0685 0.0093 0.8978
O3 O 0.1412 0.2278 0.4660
O4 O 0.2028 0.0385 0.6765
O5 O 0.2669 0.7214 0.2356
O6 O 0.2802 0.5370 0.8307
O7 O 0.2827 0.2195 0.2474
O8 O 0.4208 0.7343 0.0207
O9 O 0.4239 0.0044 0.1062
```


Calculated total energy across the listed records, respectively: -14.18, -20.02 eV per atom.
ΔE_f (raw) across the listed records, respectively: -0.683, -3.628 eV/atom.